# 1
Entry from Alexandria: an optimized crystal structure of Pm2PuAu (PBE).

a = 3.6448 Å, b = 3.6448 Å, c = 8.4301 Å
α = 90.00°, β = 90.00°, γ = 90.00°
With the nearest neighbours (Å) after each atom.
Positions (direct):
Pu 0.5000 0.5000 0.5000  8 Pm 3.51, 4 Pu 3.64
Pm 0.0000 0.0000 0.7819  4 Au 3.17, 4 Pu 3.51
Pm 0.0000 0.0000 0.2181  4 Au 3.17, 4 Pu 3.51
Au 0.5000 0.5000 0.0000  8 Pm 3.17

Offset from the most stable computed form   0.0 kJ/mol of atoms
Formation enthalpy at 0 K   -0.26 eV per atom
Crystal system   tetragonal
Symmetry   No. 123
Uncorrected energy   -7.042 eV/atom

# 2
Entry from Alexandria: an optimized crystal structure of Pm2PuAu (PBE).

a = 5.3401 Å, b = 5.3401 Å, c = 5.3402 Å
α = 60.00°, β = 60.00°, γ = 60.00°
With the nearest neighbours (Å) after each atom.
Positions (direct):
Au 0.5000 0.5000 0.5000  8 Pm 3.27
Pm 0.2499 0.2499 0.2502  4 Pu 3.27, 4 Au 3.27
Pm 0.7501 0.7501 0.7498  4 Pu 3.27, 4 Au 3.27
Pu 0.0000 0.0000 0.0000  8 Pm 3.27

Offset from the most stable computed form   20.6 kJ/mol of atoms
Formation enthalpy at 0 K   -0.05 eV per atom
Crystal system   cubic
Symmetry   No. 225
Uncorrected energy   -6.829 eV/atom

# 3
Entry from Alexandria: an optimized crystal structure of Pm5PuAu6 (PBE).

a = 5.2249 Å, b = 7.3300 Å, c = 9.0311 Å
α = 66.06°, β = 73.18°, γ = 90.00°
With the nearest neighbours (Å) after each atom.
Positions (direct):
Pm 0.6696 0.6696 0.6607  8 Au 3.16-3.19
Pm 0.0000 0.5000 0.0000  8 Au 3.15-3.18
Au 0.1673 0.4209 0.6651  7 Pm 3.16-3.24, 1 Pu 3.21
Au 0.8327 0.5791 0.3349  7 Pm 3.16-3.24, 1 Pu 3.21
Pm 0.3304 0.3304 0.3393  8 Au 3.16-3.19
Au 0.5000 0.7406 0.0000  6 Pm 3.15-3.19, 2 Pu 3.23, 1 Au 3.53
Au 0.5000 0.2594 0.0000  6 Pm 3.15-3.19, 2 Pu 3.23, 1 Au 3.53
Pm 0.6610 0.1612 0.6776  8 Au 3.16-3.24
Au 0.1673 0.9140 0.6651  7 Pm 3.16-3.24, 1 Pu 3.21
Au 0.8327 0.0860 0.3349  7 Pm 3.16-3.24, 1 Pu 3.21
Pu 0.0000 0.0000 0.0000  8 Au 3.21-3.23
Pm 0.3390 0.8388 0.3224  8 Au 3.16-3.24

Formation enthalpy at 0 K   -0.72 eV per atom
Crystal system   orthorhombic
Symmetry   No. 71
Uncorrected energy   -5.532 eV/atom